# Ce2NCl3 SCAN single point on PBEsol structure
# E_tot ... -546.57 eV per cell
# Raw formation energy ... -2381.6 meV/atom
# V ... 537.9 Å³ per cell
data_Ce2NCl3
_cell_length_a 6.686
_cell_length_b 13.565
_cell_length_c 5.931
_cell_angle_alpha 90.00
_cell_angle_beta 90.00
_cell_angle_gamma 90.00
_symmetry_space_group_name_H-M 'I b a m'
_symmetry_Int_Tables_number 72
_symmetry_space_group_name_Hall '-I 2 2c'
loop_
_atom_site_label
_atom_site_type_symbol
_atom_site_fract_x
_atom_site_fract_y
_atom_site_fract_z
Ce1 Ce 0.177 0.095 0.000
N1 N 0.000 0.000 0.250
Cl1 Cl 0.000 0.500 0.250
Cl2 Cl 0.194 0.195 0.500


# Ce3WCl3O6 SCAN single point on PBEsol structure
# E_tot ... -609.02 eV per cell
# Raw formation energy ... -3062.1 meV/atom
# V ... 388.8 Å³ per cell
data_Ce3WCl3O6
_cell_length_a 9.1897
_cell_length_b 9.1897
_cell_length_c 5.3164
_cell_angle_alpha 90.00
_cell_angle_beta 90.00
_cell_angle_gamma 120.00
_symmetry_space_group_name_H-M 'P 63/m'
_symmetry_Int_Tables_number 176
_symmetry_space_group_name_Hall '-P 6c'
loop_
_atom_site_label
_atom_site_type_symbol
_atom_site_fract_x
_atom_site_fract_y
_atom_site_fract_z
Ce1 Ce 0.0917 0.4066 0.2500
W1 W 0.3333 0.6667 0.7500
Cl1 Cl 0.0500 0.2389 0.7500
O1 O 0.1585 0.6374 0.5135


# CeCo3 SCAN single point on PBEsol structure
# E_tot ... -869.51 eV per cell
# ΔE_f ... -34 meV/atom
# V ... 480.0 Å³ per cell
data_CeCo3
_cell_length_a 4.7967
_cell_length_b 4.7967
_cell_length_c 24.0889
_cell_angle_alpha 90.00
_cell_angle_beta 90.00
_cell_angle_gamma 120.00
_symmetry_space_group_name_H-M 'R -3 m'
_symmetry_Int_Tables_number 166
_symmetry_space_group_name_Hall '-R 3 2"'
loop_
_atom_site_label
_atom_site_type_symbol
_atom_site_fract_x
_atom_site_fract_y
_atom_site_fract_z
Ce1 Ce 0.0000 0.0000 0.0000
Ce2 Ce 0.0000 0.0000 0.1386
Co1 Co 0.0000 0.0000 0.3328
Co2 Co 0.0000 0.0000 0.5000
Co3 Co 0.0010 0.5005 0.0807


# CeCoF6 SCAN single point on PBEsol structure
# E_tot ... -434.77 eV per cell
# Raw formation energy ... -3197.9 meV/atom
# V ... 567.6 Å³ per cell
data_CeCoF6
_cell_length_a 8.280
_cell_length_b 8.280
_cell_length_c 8.280
_cell_angle_alpha 90.00
_cell_angle_beta 90.00
_cell_angle_gamma 90.00
_symmetry_space_group_name_H-M 'F m -3 m'
_symmetry_Int_Tables_number 225
_symmetry_space_group_name_Hall '-F 4 2 3'
loop_
_atom_site_label
_atom_site_type_symbol
_atom_site_fract_x
_atom_site_fract_y
_atom_site_fract_z
Ce1 Ce 0.000 0.000 0.000
Co1 Co 0.000 0.000 0.500
F1 F 0.000 0.000 0.263